Compound: CdCoW
Source: the Alexandria database
Functional: PBE
Structure: optimized geometry

## Properties
Energy relative to the elements: 0.7227 eV/atom
Total moment: 1.69 μB per cell
Theoretical density: 11.6 g/cm3
DOS(E_F): 23.3 states/eV/cell
Distance to the lowest polymorph of the same formula: 0.396 eV/atom

Geometry as CIF:
```
data_CdCoW
_chemical_formula_sum 'Cd4 Co4 W4'
_symmetry_space_group_name_H-M 'F -4 3 m'
_symmetry_Int_Tables_number 216
_symmetry_space_group_name_Hall 'F -4 2 3'
_cell_length_a 5.880
_cell_length_b 5.880
_cell_length_c 5.880
_cell_angle_alpha 90.00
_cell_angle_beta 90.00
_cell_angle_gamma 90.00
loop_
_atom_site_label
_atom_site_type_symbol
_atom_site_fract_x
_atom_site_fract_y
_atom_site_fract_z
Cd1 Cd 0.000 0.000 0.000
Co1 Co 0.250 0.250 0.750
W1 W 0.000 0.000 0.500
```